# 1
Below is EuErZnSi after structural relaxation, with properties calculated at the PBE level.

Lattice parameters (Å, degrees): 5.0595 5.0595 5.0595 60.00 60.00 60.00
Last column: nearest neighbours and their distance in Å.
Element x y z (fractional)
Eu 0.0000 0.0000 0.0000  4 Zn 3.10, 4 Si 3.10
Er 0.5000 0.5000 0.5000  4 Zn 3.10, 4 Si 3.10
Zn 0.2500 0.2500 0.2500  4 Er 3.10, 4 Eu 3.10
Si 0.7500 0.7500 0.7500  4 Er 3.10, 4 Eu 3.10

## Properties
Energy relative to the elements, uncorrected   -0.38 eV per atom
DOS at the Fermi energy   2.77 states/eV/f.u.
SG   F-43m
M_tot   7.24 μB/f.u.
Energy   -23.1 eV per formula unit

***

# 2
Below is KAcGaHg after structural relaxation, with properties calculated at the PBE level.

Lattice parameters (Å, degrees): 5.6467 5.6467 5.6467 60.00 60.00 60.00
Last column: nearest neighbours and their distance in Å.
Element x y z (fractional)
K 0.0000 0.0000 0.0000  4 Hg 3.46, 4 Ga 3.46
Ac 0.5000 0.5000 0.5000  4 Ga 3.46, 4 Hg 3.46
Ga 0.7500 0.7500 0.7500  4 Ac 3.46, 4 K 3.46
Hg 0.2500 0.2500 0.2500  4 Ac 3.46, 4 K 3.46

## Properties
DOS at the Fermi energy   4.31 states/eV/f.u.
SG   F-43m
M_tot   0.00 μB/f.u.
Energy   -9.3 eV per formula unit
ΔH_f (0 K)   -0.1976 eV per atom

***

# 3
Below is PaSi2Tc after structural relaxation, with properties calculated at the PBE level.

Lattice parameters (Å, degrees): 3.1047 3.1047 6.8408 90.00 90.00 90.00
Last column: nearest neighbours and their distance in Å.
Element x y z (fractional)
Pa 0.0000 0.0000 0.0000  8 Si 3.03, 4 Pa 3.10
Si 0.5000 0.5000 0.3046  4 Tc 2.57, 1 Si 2.67
Si 0.5000 0.5000 0.6954  4 Tc 2.57, 1 Si 2.67
Tc 0.0000 0.0000 0.5000  8 Si 2.57

## Properties
Energy relative to the elements, uncorrected   -0.37 eV per atom
E above lowest polymorph   0.263 eV/atom
DOS at the Fermi energy   5.96 states/eV/f.u.
SG   P4/mmm
M_tot   0.53 μB/f.u.
Energy   -32.2 eV per formula unit

***

# 4
Below is ThSi3TcOs after structural relaxation, with properties calculated at the PBE level.

Lattice parameters (Å, degrees): 6.4378 6.4378 6.7100 90.00 90.00 125.35
Last column: nearest neighbours and their distance in Å.
Element x y z (fractional)
Th 0.2207 0.7793 0.7500  6 Si 2.97-3.26, 1 Tc 3.23
Th 0.7793 0.2207 0.2500  6 Si 2.97-3.26, 1 Tc 3.23
Si 0.2051 0.2051 0.0000  2 Os 2.39, 2 Tc 2.42, 1 Si 2.42
Si 0.2051 0.2051 0.5000  2 Os 2.39, 2 Tc 2.42, 1 Si 2.42
Si 0.3017 0.6983 0.2500  1 Tc 2.24, 1 Os 2.25
Si 0.6983 0.3017 0.7500  1 Tc 2.24, 1 Os 2.25
Si 0.7949 0.7949 0.0000  2 Os 2.39, 2 Tc 2.42, 1 Si 2.42
Si 0.7949 0.7949 0.5000  2 Os 2.39, 2 Tc 2.42, 1 Si 2.42
Tc 0.4972 0.5028 0.2500  5 Si 2.24-2.42
Tc 0.5028 0.4972 0.7500  5 Si 2.24-2.42
Os 0.1052 0.8948 0.2500  5 Si 2.25-2.39
Os 0.8948 0.1052 0.7500  5 Si 2.25-2.39

## Properties
Energy relative to the elements, uncorrected   -0.33 eV per atom
DOS at the Fermi energy   2.54 states/eV/f.u.
SG   Cmcm
M_tot   0.00 μB/f.u.
Energy   -47.2 eV per formula unit

***

# 5
Below is LiAcRh4 after structural relaxation, with properties calculated at the PBE level.

Lattice parameters (Å, degrees): 5.3800 5.3800 5.3800 60.00 60.00 60.00
Last column: nearest neighbours and their distance in Å.
Element x y z (fractional)
Li 0.0000 0.0000 0.0000  12 Rh 3.15, 4 Ac 3.29
Ac 0.7500 0.7500 0.7500  12 Rh 3.16, 4 Li 3.29
Rh 0.3743 0.3743 0.3743  6 Rh 2.67-2.71
Rh 0.3743 0.3743 0.8772  6 Rh 2.67-2.71
Rh 0.3743 0.8772 0.3743  6 Rh 2.67-2.71
Rh 0.8772 0.3743 0.3743  6 Rh 2.67-2.71

## Properties
DOS at the Fermi energy   7.64 states/eV/f.u.
SG   F-43m
M_tot   0.01 μB/f.u.
Energy   -37.3 eV per formula unit
ΔH_f (0 K)   -0.3184 eV per atom

***

# 6
Below is K8Sb2As after structural relaxation, with properties calculated at the PBE level.

Lattice parameters (Å, degrees): 10.5750 10.5750 8.1944 110.86 110.86 32.47
Last column: nearest neighbours and their distance in Å.
Element x y z (fractional)
K 0.0151 0.0151 0.2796  2 As 3.54, 1 Sb 3.62, 3 K 3.80-3.88
K 0.2063 0.2063 0.7769  3 Sb 3.58-3.76, 4 K 3.71-3.92
K 0.3423 0.3423 0.5617  1 As 3.42, 3 Sb 3.69-3.73, 1 K 3.79
K 0.3950 0.3950 0.0787  1 As 3.32, 2 Sb 3.60, 1 K 3.71
K 0.6050 0.6050 0.9213  1 As 3.32, 2 Sb 3.60, 1 K 3.71
K 0.6577 0.6577 0.4383  1 As 3.42, 3 Sb 3.69-3.73, 1 K 3.79
K 0.7937 0.7937 0.2231  3 Sb 3.58-3.76, 4 K 3.71-3.92
K 0.9849 0.9849 0.7204  2 As 3.54, 1 Sb 3.62, 3 K 3.80-3.88
Sb 0.1738 0.1738 0.1777  9 K 3.58-3.76
Sb 0.8262 0.8262 0.8223  9 K 3.58-3.76
As 0.5000 0.5000 0.5000  8 K 3.32-3.54

## Properties
Energy relative to the elements, uncorrected   -0.35 eV per atom
E above lowest polymorph   0.000 eV/atom
DOS at the Fermi energy   16.86 states/eV/f.u.
SG   C2/m
M_tot   1.22 μB/f.u.
Energy   -25.6 eV per formula unit

***

# 7
Below is Pm4Ga2C after structural relaxation, with properties calculated at the PBE level.

Lattice parameters (Å, degrees): 6.5754 6.6144 9.2100 90.00 110.29 90.00
Last column: nearest neighbours and their distance in Å.
Element x y z (fractional)
Pm 0.0018 0.0031 0.2404  1 C 2.34
Pm 0.0018 0.4969 0.2404  1 C 2.34
Pm 0.4232 0.7500 0.5867  1 C 2.33
Pm 0.4383 0.7500 0.1331  1 C 2.35
Pm 0.5617 0.2500 0.8669  1 C 2.35
Pm 0.5768 0.2500 0.4133  1 C 2.33
Pm 0.9982 0.5031 0.7596  1 C 2.34
Pm 0.9982 0.9969 0.7596  1 C 2.34
Ga 0.1848 0.2500 0.5458  6 Pm 3.11-3.21, 1 C 3.38
Ga 0.2636 0.2500 0.0672  8 Pm 3.12-3.48
Ga 0.7364 0.7500 0.9328  8 Pm 3.12-3.48
Ga 0.8152 0.7500 0.4542  6 Pm 3.11-3.21, 1 C 3.38
C 0.2668 0.7500 0.3182  4 Pm 2.33-2.35
C 0.7332 0.2500 0.6818  4 Pm 2.33-2.35

## Properties
E above lowest polymorph   0.102 eV/atom
DOS at the Fermi energy   5.88 states/eV/f.u.
SG   P2_1/m
M_tot   0.00 μB/f.u.
Energy   -35.9 eV per formula unit
ΔH_f (0 K)   -0.2317 eV per atom

***

# 8
Below is LaNd12Cd6 after structural relaxation, with properties calculated at the PBE level.

Lattice parameters (Å, degrees): 8.3844 8.3844 8.3844 88.20 88.20 88.20
Last column: nearest neighbours and their distance in Å.
Element x y z (fractional)
La 0.0000 0.0000 0.0000  6 Cd 3.25, 6 Nd 3.56
Nd 0.0460 0.1540 0.3867  4 Nd 3.26-3.52, 3 Cd 3.31-3.60, 1 La 3.56
Nd 0.1540 0.3867 0.0460  4 Nd 3.26-3.52, 3 Cd 3.31-3.60, 1 La 3.56
Nd 0.1924 0.4676 0.5726  4 Cd 3.26-3.56, 4 Nd 3.38-3.52
Nd 0.3867 0.0460 0.1540  4 Nd 3.26-3.52, 3 Cd 3.31-3.60, 1 La 3.56
Nd 0.4274 0.8076 0.5324  4 Cd 3.26-3.56, 4 Nd 3.38-3.52
Nd 0.4676 0.5726 0.1924  4 Cd 3.26-3.56, 4 Nd 3.38-3.52
Nd 0.5324 0.4274 0.8076  4 Cd 3.26-3.56, 4 Nd 3.38-3.52
Nd 0.5726 0.1924 0.4676  4 Cd 3.26-3.56, 4 Nd 3.38-3.52
Nd 0.6133 0.9540 0.8460  4 Nd 3.26-3.52, 3 Cd 3.31-3.60, 1 La 3.56
Nd 0.8076 0.5324 0.4274  4 Cd 3.26-3.56, 4 Nd 3.38-3.52
Nd 0.8460 0.6133 0.9540  4 Nd 3.26-3.52, 3 Cd 3.31-3.60, 1 La 3.56
Nd 0.9540 0.8460 0.6133  4 Nd 3.26-3.52, 3 Cd 3.31-3.60, 1 La 3.56
Cd 0.1159 0.7353 0.2673  1 La 3.25, 7 Nd 3.26-3.60, 2 Cd 3.41
Cd 0.2647 0.7327 0.8841  1 La 3.25, 7 Nd 3.26-3.60, 2 Cd 3.41
Cd 0.2673 0.1159 0.7353  1 La 3.25, 7 Nd 3.26-3.60, 2 Cd 3.41
Cd 0.7327 0.8841 0.2647  1 La 3.25, 7 Nd 3.26-3.60, 2 Cd 3.41
Cd 0.7353 0.2673 0.1159  1 La 3.25, 7 Nd 3.26-3.60, 2 Cd 3.41
Cd 0.8841 0.2647 0.7327  1 La 3.25, 7 Nd 3.26-3.60, 2 Cd 3.41

## Properties
DOS at the Fermi energy   24.88 states/eV/f.u.
SG   R-3
M_tot   0.00 μB/f.u.
Energy   -69.5 eV per formula unit
ΔH_f (0 K)   -0.0988 eV per atom

***

# 9
Below is GdThCd2 after structural relaxation, with properties calculated at the PBE level.

Lattice parameters (Å, degrees): 5.4762 5.4762 3.7042 90.00 90.00 90.00
Last column: nearest neighbours and their distance in Å.
Element x y z (fractional)
Gd 0.0000 0.0000 0.0000  8 Cd 3.31
Th 0.5000 0.5000 0.0000  8 Cd 3.31
Cd 0.0000 0.5000 0.5000  4 Gd 3.31, 4 Th 3.31
Cd 0.5000 0.0000 0.5000  4 Gd 3.31, 4 Th 3.31

## Properties
E above lowest polymorph   0.022 eV/atom
DOS at the Fermi energy   5.05 states/eV/f.u.
SG   P4/mmm
M_tot   7.58 μB/f.u.
Energy   -24.0 eV per formula unit
ΔH_f (0 K)   -0.1786 eV per atom

***

# 10
Below is Ac2La2Pr after structural relaxation, with properties calculated at the PBE level.

Lattice parameters (Å, degrees): 9.3562 9.3562 7.4700 103.17 103.17 39.73
Last column: nearest neighbours and their distance in Å.
Element x y z (fractional)
Ac 0.1600 0.2311 0.0801  4 La 3.64-4.05, 3 Ac 3.69-3.76, 2 Pr 3.78-3.95
Ac 0.2311 0.1600 0.5801  4 La 3.64-4.05, 3 Ac 3.69-3.76, 2 Pr 3.78-3.95
Ac 0.7689 0.8400 0.4199  4 La 3.64-4.05, 3 Ac 3.69-3.76, 2 Pr 3.78-3.95
Ac 0.8400 0.7689 0.9199  4 La 3.64-4.05, 3 Ac 3.69-3.76, 2 Pr 3.78-3.95
La 0.3392 0.4824 0.3311  4 La 3.63-3.84, 3 Pr 3.63-3.86, 4 Ac 3.64-4.05
La 0.4824 0.3392 0.8311  4 La 3.63-3.84, 3 Pr 3.63-3.86, 4 Ac 3.64-4.05
La 0.5176 0.6608 0.1689  4 La 3.63-3.84, 3 Pr 3.63-3.86, 4 Ac 3.64-4.05
La 0.6608 0.5176 0.6689  4 La 3.63-3.84, 3 Pr 3.63-3.86, 4 Ac 3.64-4.05
Pr 0.0767 0.9233 0.7500  6 La 3.63-3.86, 4 Ac 3.78-3.95, 2 Pr 3.86
Pr 0.9233 0.0767 0.2500  6 La 3.63-3.86, 4 Ac 3.78-3.95, 2 Pr 3.86

## Properties
E above lowest polymorph   0.041 eV/atom
DOS at the Fermi energy   8.55 states/eV/f.u.
SG   C2/c
M_tot   0.00 μB/f.u.
Energy   -22.5 eV per formula unit
ΔH_f (0 K)   0.0759 eV per atom

***

# 11
Below is Y2OsPb after structural relaxation, with properties calculated at the PBE level.

Lattice parameters (Å, degrees): 5.7914 5.7914 5.7914 135.66 135.66 64.51
Last column: nearest neighbours and their distance in Å.
Element x y z (fractional)
Y 0.0000 0.0000 0.0000  4 Pb 3.09, 4 Os 3.28, 4 Y 3.28
Y 0.7500 0.2500 0.5000  4 Os 3.09, 4 Pb 3.28, 4 Y 3.28
Os 0.2500 0.7500 0.5000  8 Y 3.09-3.28, 4 Pb 3.28
Pb 0.5000 0.5000 0.0000  8 Y 3.09-3.28, 4 Os 3.28

## Properties
DOS at the Fermi energy   4.37 states/eV/f.u.
SG   I-4m2
M_tot   0.00 μB/f.u.
Energy   -27.8 eV per formula unit
ΔH_f (0 K)   0.0261 eV per atom

***

# 12
Below is DyScGePd after structural relaxation, with properties calculated at the PBE level.

Lattice parameters (Å, degrees): 4.8696 4.8696 4.8696 60.00 60.00 60.00
Last column: nearest neighbours and their distance in Å.
Element x y z (fractional)
Dy 0.0000 0.0000 0.0000  4 Ge 2.98, 4 Pd 2.98
Sc 0.5000 0.5000 0.5000  4 Ge 2.98, 4 Pd 2.98
Ge 0.7500 0.7500 0.7500  4 Dy 2.98, 4 Sc 2.98
Pd 0.2500 0.2500 0.2500  4 Dy 2.98, 4 Sc 2.98

## Properties
DOS at the Fermi energy   2.03 states/eV/f.u.
SG   F-43m
M_tot   0.00 μB/f.u.
Energy   -23.9 eV per formula unit
ΔH_f (0 K)   -0.7923 eV per atom